# GGA-PBE PHS, optimized geometry
# V: 19.13 Å³ per atom
# energy: -4.1605 eV/atom
# distance to the lowest polymorph of the same formula: 0.51 eV/f.u.
# space group: Cm (8)
data_PHS
_space_group_name_H-M_alt 'P 1'
_space_group_IT_number 1
_space_group_name_Hall 'P 1'
_cell_length_a 4.8300
_cell_length_b 2.5566
_cell_length_c 9.6158
_cell_angle_alpha 90.00
_cell_angle_beta 104.78
_cell_angle_gamma 90.00
loop_
_atom_site_label
_atom_site_type_symbol
_atom_site_fract_x
_atom_site_fract_y
_atom_site_fract_z
_atom_site_occupancy
S1 S 0.2567 0.0000 0.9847 1
H1 H 0.9687 0.0000 0.2035 1
S2 S 0.2567 0.5000 0.4847 1
H2 H 0.9687 0.5000 0.7035 1
P1 P 0.8721 0.0000 0.0497 1
P2 P 0.8721 0.5000 0.5497 1